# 1
First-principles (GGA-PBE) data for a relaxed structure of Pr2H6PdRh, as listed in the Alexandria database.

extended XYZ file:
```
10
Lattice="0.000 3.800 3.814 3.749 0.000 3.814 3.749 3.800 0.000" Properties=species:S:1:pos:R:3 pbc="T T T"
Pr 1.874 1.900 1.907
Pr 5.623 5.700 5.721
H 3.749 3.800 1.818
H 3.749 1.813 3.814
H 5.696 3.800 3.814
H 1.801 3.800 3.814
H 3.749 5.787 3.814
H 3.749 3.800 5.810
Pd 3.749 3.800 3.814
Rh 0.000 0.000 0.000
```

Properties
- total magnetization (Bohr magnetons per cell) = 0.0
- E_tot (eV per atom) = -4.77

***

# 2
First-principles (GGA-PBE) data for a relaxed structure of Cs2Li2PbF6, as listed in the Alexandria database.

extended XYZ file:
```
11
Lattice="3.207 1.852 6.348 -3.207 1.852 6.348 0.000 -3.703 6.348" Properties=species:S:1:pos:R:3 pbc="T T T"
Cs 0.000 0.000 4.111
Cs 0.000 0.000 14.934
Li 0.000 0.000 7.966
Li 0.000 0.000 11.078
Pb 0.000 0.000 0.000
F 0.000 -1.807 7.930
F -1.565 0.904 7.930
F -1.565 -0.904 11.115
F 1.565 0.904 7.930
F 1.565 -0.904 11.115
F 0.000 1.807 11.115
```

Properties
- total magnetization (Bohr magnetons per cell) = 0.0
- formation energy without anion corrections (meV/atom) = -2669

***

# 3
First-principles (GGA-PBE) data for a relaxed structure of PuPaPt4, as listed in the Alexandria database.

extended XYZ file:
```
6
Lattice="4.742 0.000 0.000 -2.371 4.106 0.000 0.000 0.000 5.854" Properties=species:S:1:pos:R:3 pbc="T T T"
Pu 0.000 0.000 0.000
Pa 0.000 0.000 2.927
Pt 0.000 2.738 1.466
Pt 0.000 2.738 4.388
Pt 2.371 1.369 1.466
Pt 2.371 1.369 4.388
```

Properties
- total magnetization (Bohr magnetons per cell) = 5.9
- excess energy over the best structure of this formula in the dataset (meV per atom) = 113
- ΔH_f (0 K) (eV per atom) = -0.770

***

# 4
First-principles (GGA-PBE) data for a relaxed structure of Si2AsSe, as listed in the Alexandria database.

extended XYZ file:
```
4
Lattice="2.967 0.000 0.000 0.000 4.744 0.000 -1.081 0.000 5.102" Properties=species:S:1:pos:R:3 pbc="T T T"
Si 0.297 0.000 1.399
Si 1.589 0.000 3.703
As -0.541 2.372 2.551
Se 1.484 2.372 0.000
```

Properties
- total magnetization (Bohr magnetons per cell) = 0.0
- excess energy over the best structure of this formula in the dataset (meV per atom) = 551
- formation energy without anion corrections (meV/atom) = 536

***

# 5
First-principles (GGA-PBE) data for a relaxed structure of Tb4Pm3Dy5, as listed in the Alexandria database.

extended XYZ file:
```
12
Lattice="8.017 -2.962 0.000 8.017 2.962 0.000 -4.082 0.000 8.340" Properties=species:S:1:pos:R:3 pbc="T T T"
Tb -0.490 0.000 3.686
Tb -0.214 0.000 7.322
Tb 12.165 0.000 1.018
Tb 12.441 0.000 4.654
Pm 2.400 0.000 1.920
Pm 8.017 0.000 0.000
Pm 9.551 0.000 6.420
Dy 0.000 0.000 0.000
Dy 2.751 0.000 5.100
Dy 5.603 0.000 2.523
Dy 6.348 0.000 5.816
Dy 9.201 0.000 3.239
```

Properties
- total magnetization (Bohr magnetons per cell) = 0.2
- excess energy over the best structure of this formula in the dataset (meV per atom) = 215
- ΔH_f (0 K) (eV per atom) = 0.229

***

# 6
First-principles (GGA-PBE) data for a relaxed structure of Pm8P4Se3, as listed in the Alexandria database.

extended XYZ file:
```
15
Lattice="5.851 -5.863 0.000 5.851 5.863 0.000 -5.829 0.000 5.867" Properties=species:S:1:pos:R:3 pbc="T T T"
Pm -2.975 0.000 5.776
Pm -0.025 0.000 2.876
Pm 5.851 3.011 0.000
Pm 2.936 3.001 2.934
Pm 2.936 -3.001 2.934
Pm 5.851 -3.011 0.000
Pm 5.898 0.000 2.991
Pm 8.848 0.000 0.091
P 0.000 0.000 0.000
P -2.915 0.000 2.934
P 0.011 2.931 2.934
P 0.011 -2.931 2.934
Se 2.926 2.931 0.000
Se 2.926 -2.931 0.000
Se 5.851 0.000 0.000
```

Properties
- total magnetization (Bohr magnetons per cell) = 0.0
- formation energy without anion corrections (meV/atom) = -1613